An optimized crystal structure of SmBC, computed with GGA-PBE.

Properties
**Relative energy among the computed polymorphs**: 0.000 eV per atom
**Calculated volume**: 14.11 A^3/atom
**Size of the total moment**: 0.0 μB/f.u.
**Mass density**: 6.795 g cm⁻³

```
SmBC
1.0
8.296 0.000 0.000
0.000 8.332 0.000
0.000 0.000 12.246
Sm B C
20 20 20
direct
0.047 0.097 0.139
0.064 0.700 0.636
0.157 0.593 0.905
0.161 0.990 0.420
0.245 0.289 0.674
0.255 0.711 0.174
0.339 0.010 0.920
0.343 0.407 0.405
0.436 0.300 0.136
0.453 0.903 0.639
0.547 0.403 0.861
0.564 0.800 0.364
0.657 0.907 0.095
0.661 0.510 0.580
0.745 0.211 0.326
0.755 0.789 0.826
0.839 0.490 0.080
0.843 0.093 0.595
0.936 0.200 0.864
0.953 0.597 0.361
0.018 0.891 0.959
0.062 0.295 0.320
0.095 0.981 0.738
0.117 0.398 0.213
0.183 0.306 0.990
0.317 0.694 0.490
0.383 0.602 0.713
0.405 0.019 0.238
0.438 0.705 0.820
0.482 0.109 0.459
0.518 0.609 0.041
0.562 0.205 0.680
0.595 0.519 0.262
0.617 0.102 0.787
0.683 0.194 0.010
0.817 0.806 0.509
0.883 0.898 0.287
0.905 0.481 0.762
0.938 0.795 0.180
0.982 0.391 0.541
0.024 0.303 0.439
0.056 0.890 0.840
0.145 0.398 0.092
0.147 0.996 0.623
0.243 0.298 0.878
0.257 0.702 0.378
0.353 0.004 0.123
0.355 0.602 0.592
0.444 0.110 0.340
0.476 0.697 0.939
0.524 0.197 0.561
0.556 0.610 0.160
0.645 0.102 0.908
0.647 0.504 0.377
0.743 0.202 0.122
0.757 0.798 0.622
0.853 0.496 0.877
0.855 0.898 0.408
0.944 0.390 0.660
0.976 0.803 0.061
```